1.
VASP calculation (PBE) on a relaxed structure of K2RhO4.

Unit cell a=3.9932 b=3.9932 c=13.4749 alpha=90.00 beta=90.00 gamma=90.00
Closest atoms and distances in Å follow each position.
Space group I4/mmm (No. 139)
Inequivalent atoms, fractional coordinates:
K 0.0000 0.0000 0.1498  9 O 2.81-2.84
Rh 0.0000 0.0000 0.5000  6 O 1.91-2.00
O 0.0000 0.0000 0.3583  1 Rh 1.91
O 0.0000 0.5000 0.0000  2 Rh 2.00

Uncorrected energy = -0.1875 Ha/atom
Energy relative to the elements, uncorrected = -0.905 eV/atom


2.
VASP calculation (PBE) on a relaxed structure of ScTl2P.

Unit cell a=7.1850 b=7.1850 c=7.1850 alpha=90.00 beta=90.00 gamma=90.00
Closest atoms and distances in Å follow each position.
Space group F-43m (No. 216)
Inequivalent atoms, fractional coordinates:
Sc 0.0000 0.0000 0.0000  4 Tl 3.11, 4 P 3.11
Tl 0.0000 0.0000 0.5000  4 Tl 3.11, 4 P 3.11
Tl 0.2500 0.2500 0.2500  4 Tl 3.11, 4 Sc 3.11
P 0.2500 0.2500 0.7500  4 Sc 3.11, 4 Tl 3.11

Uncorrected energy = -0.1492 Ha/atom
Energy of formation from the pure elements = 0.06 eV/atom


3.
VASP calculation (PBE) on a relaxed structure of TaSb2Au.

Unit cell a=7.0371 b=7.0371 c=7.0371 alpha=90.00 beta=90.00 gamma=90.00
Closest atoms and distances in Å follow each position.
Space group F-43m (No. 216)
Inequivalent atoms, fractional coordinates:
Ta 0.0000 0.0000 0.0000  4 Au 3.05, 4 Sb 3.05
Sb 0.0000 0.0000 0.5000  4 Sb 3.05, 4 Au 3.05
Sb 0.2500 0.2500 0.7500  4 Ta 3.05, 4 Sb 3.05
Au 0.2500 0.2500 0.2500  4 Sb 3.05, 4 Ta 3.05

Uncorrected energy = -0.1958 Ha/atom
Energy relative to the elements, uncorrected = 0.517 eV/atom


4.
VASP calculation (PBE) on a relaxed structure of ZnCrMo2.

Unit cell a=3.1504 b=4.2897 c=8.5606 alpha=90.00 beta=90.00 gamma=90.00
Closest atoms and distances in Å follow each position.
Space group Imm2 (No. 44)
Inequivalent atoms, fractional coordinates:
Zn 0.0000 0.0000 0.0000  8 Mo 2.67-2.91, 2 Cr 2.68
Cr 0.0000 0.5000 0.7537  6 Mo 2.50-2.67, 2 Zn 2.68
Mo 0.0000 0.0000 0.4799  2 Cr 2.50, 2 Mo 2.65, 4 Zn 2.67
Mo 0.0000 0.5000 0.2294  2 Mo 2.65, 4 Cr 2.67, 4 Zn 2.80-2.91

Uncorrected energy = -0.2920 Ha/atom
Energy of formation from the pure elements = 0.19 eV/atom


Please write out number 4 again, unchanged.
VASP calculation (PBE) on a relaxed structure of ZnCrMo2.

Unit cell a=3.1504 b=4.2897 c=8.5606 alpha=90.00 beta=90.00 gamma=90.00
Closest atoms and distances in Å follow each position.
Space group Imm2 (No. 44)
Inequivalent atoms, fractional coordinates:
Zn 0.0000 0.0000 0.0000  8 Mo 2.67-2.91, 2 Cr 2.68
Cr 0.0000 0.5000 0.7537  6 Mo 2.50-2.67, 2 Zn 2.68
Mo 0.0000 0.0000 0.4799  2 Cr 2.50, 2 Mo 2.65, 4 Zn 2.67
Mo 0.0000 0.5000 0.2294  2 Mo 2.65, 4 Cr 2.67, 4 Zn 2.80-2.91

Uncorrected energy = -0.2920 Ha/atom
Energy of formation from the pure elements = 0.19 eV/atom


What did the fourth record say?
VASP calculation (PBE) on a relaxed structure of ZnCrMo2.

Unit cell a=3.1504 b=4.2897 c=8.5606 alpha=90.00 beta=90.00 gamma=90.00
Closest atoms and distances in Å follow each position.
Space group Imm2 (No. 44)
Inequivalent atoms, fractional coordinates:
Zn 0.0000 0.0000 0.0000  8 Mo 2.67-2.91, 2 Cr 2.68
Cr 0.0000 0.5000 0.7537  6 Mo 2.50-2.67, 2 Zn 2.68
Mo 0.0000 0.0000 0.4799  2 Cr 2.50, 2 Mo 2.65, 4 Zn 2.67
Mo 0.0000 0.5000 0.2294  2 Mo 2.65, 4 Cr 2.67, 4 Zn 2.80-2.91

Uncorrected energy = -0.2920 Ha/atom
Energy of formation from the pure elements = 0.19 eV/atom


- The highest uncorrected energy belongs to which entry?
  ScTl2P